## Li4CeMg5 (PBE-GGA)

Data for a relaxed structure of Li4CeMg5.

## Properties
E ... -21.896 eV/cell
Energy relative to the elements ... -0.033 eV/atom

```
data_Li4CeMg5
_chemical_formula_sum 'Li4 Ce1 Mg5'
_space_group_name_H-M_alt 'P 4/m m m'
_space_group_IT_number 123
_space_group_name_Hall '-P 4 2'
_cell_length_a 3.391
_cell_length_b 3.391
_cell_length_c 18.659
_cell_angle_alpha 90.00
_cell_angle_beta 90.00
_cell_angle_gamma 90.00
loop_
_atom_site_label
_atom_site_fract_x
_atom_site_fract_y
_atom_site_fract_z
Li1 0.000 0.000 0.092
Li2 0.000 0.000 0.277
Ce1 0.000 0.000 0.500
Mg1 0.500 0.500 0.000
Mg2 0.500 0.500 0.184
Mg3 0.500 0.500 0.369
```